(1)
SrInCu2 | PBE-GGA | relaxed

```
8
Lattice="-4.0149 -1.9299 -2.0664 2.6575 -1.3501 -3.9024 1.0856 -9.5132 0.9408" Properties=species:S:1:pos:R:3 pbc="T T T"
In 0.0000 0.0000 0.0000
Cu -1.5809 -4.9109 -4.0120
Cu -0.3590 -8.0275 -0.5573
Cu -2.9092 -4.2356 -2.0606
Cu -2.3668 -8.9922 -1.5901
In -1.8040 -6.5415 -2.0550
Sr 1.5322 -6.2516 -2.9730
Sr -0.6787 -1.6400 -2.9844
```

Uncorrected energy in eV per atom: -3.131
Space-group type: I4_1/amd (141)



(2)
Rb2Ir2Os | PBE-GGA | relaxed

```
5
Lattice="-3.3114 1.1826 -1.5430 1.4505 -0.5261 -3.5162 -3.5640 -7.0275 -2.5153" Properties=species:S:1:pos:R:3 pbc="T T T"
Ir -1.3359 -0.8044 -2.5274
Rb -1.5219 -3.6127 -4.2805
Os 0.0000 0.0000 0.0000
Rb -3.9029 -2.7584 -3.2939
Ir -4.0889 -5.5666 -5.0471
```

ΔE to the lowest computed polymorph in meV per atom: 1402
Space-group type: I4/mmm (139)



(3)
Sr2LiCdRh | PBE-GGA | relaxed

```
5
Lattice="5.7260 0.0000 0.0000 0.0000 5.7260 0.0000 0.0000 0.0000 4.8507" Properties=species:S:1:pos:R:3 pbc="T T T"
Sr 0.0000 2.8630 0.0000
Cd 2.8630 2.8630 2.4253
Rh 0.0000 0.0000 0.0000
Li 0.0000 0.0000 2.4253
Sr 2.8630 0.0000 0.0000
```

ΔE to the lowest computed polymorph in meV per atom: 6
Space-group type: P4/mmm (123)



| no. | theoretical density (kg/m3) |
| --- | --- |
| 1 | 5058 |
| 2 | 10748 |
| 3 | 4150 |